Entry 1:
This record from Alexandria describes an optimized crystal structure of Sr3LaHg4. The functional is GGA-PBE.

Unit cell a=3.9689 b=3.9689 c=16.0452 alpha=90.00 beta=90.00 gamma=90.00
With the nearest neighbours (Å) after each atom.
Fractional positions:
Hg 0.0000 0.0000 0.1164  4 La 3.37, 4 Sr 3.50, 1 Hg 3.73
Hg 0.0000 0.0000 0.3729  8 Sr 3.46-3.47
Hg 0.0000 0.0000 0.8836  4 La 3.37, 4 Sr 3.50, 1 Hg 3.73
Hg 0.0000 0.0000 0.6271  8 Sr 3.46-3.47
Sr 0.5000 0.5000 0.2470  8 Hg 3.46-3.50
Sr 0.5000 0.5000 0.7530  8 Hg 3.46-3.50
Sr 0.5000 0.5000 0.5000  8 Hg 3.47
La 0.5000 0.5000 0.0000  8 Hg 3.37

Computed properties:
* formation enthalpy at 0 K: -528 meV per atom
* N(E_F): 0.841 states/eV per atom
* magnetization: 0.00 μB/f.u.
* space group: No. 123


Entry 2:
This record from Alexandria describes an optimized crystal structure of SrLa2Tl2Hg2. The functional is GGA-PBE.

Unit cell a=5.0905 b=5.0905 c=10.1706 alpha=75.51 beta=75.51 gamma=60.00
With the nearest neighbours (Å) after each atom.
Fractional positions:
Tl 0.7347 0.7347 0.7960  3 Hg 3.11
Tl 0.2653 0.2653 0.2040  3 Hg 3.11
La 0.1399 0.1399 0.5804  3 Hg 3.14, 3 La 3.33
La 0.8601 0.8601 0.4196  3 Hg 3.14, 3 La 3.33
Hg 0.5643 0.5643 0.3072  3 Tl 3.11, 3 La 3.14
Hg 0.4357 0.4357 0.6928  3 Tl 3.11, 3 La 3.14
Sr 0.0000 0.0000 0.0000  6 Tl 3.55

Computed properties:
* formation enthalpy at 0 K: -328 meV per atom
* N(E_F): 0.154 states/eV per atom
* magnetization: 0.00 μB/f.u.
* space group: No. 166


Entry 3:
This record from Alexandria describes an optimized crystal structure of SrLaZnHg. The functional is GGA-PBE.

Unit cell a=3.8878 b=3.8878 c=7.8509 alpha=90.00 beta=90.00 gamma=90.00
With the nearest neighbours (Å) after each atom.
Fractional positions:
La 0.0000 0.0000 0.3446  4 Zn 3.23, 4 Hg 3.37
Hg 0.5000 0.5000 0.5922  4 La 3.37, 4 Sr 3.48, 1 Zn 3.65
Sr 0.0000 0.0000 0.8638  4 Zn 3.44, 4 Hg 3.48, 1 La 3.77
Zn 0.5000 0.5000 0.1275  4 La 3.23, 4 Sr 3.44

Computed properties:
* formation enthalpy at 0 K: -385 meV per atom
* N(E_F): 0.912 states/eV per atom
* magnetization: 0.15 μB/f.u.
* space group: No. 99


Entry 4:
This record from Alexandria describes an optimized crystal structure of LaTa3Hg. The functional is GGA-PBE.

Unit cell a=5.1472 b=5.1472 c=5.1472 alpha=90.00 beta=90.00 gamma=90.00
With the nearest neighbours (Å) after each atom.
Fractional positions:
Hg 0.0000 0.0000 0.0000  6 Ta 2.57
Ta 0.5000 0.0000 0.0000  2 Hg 2.57
Ta 0.0000 0.0000 0.5000  2 Hg 2.57
Ta 0.0000 0.5000 0.0000  2 Hg 2.57
La 0.5000 0.5000 0.5000  12 Ta 3.64

Computed properties:
* formation enthalpy at 0 K: 1770 meV per atom
* N(E_F): 2.291 states/eV per atom
* energy relative to the lowest polymorph listed for this composition: 0.00 eV/f.u.
* magnetization: 0.00 μB/f.u.
* space group: No. 221


Entry 5:
This record from Alexandria describes an optimized crystal structure of LaTa2Hg. The functional is GGA-PBE.

Unit cell a=6.1917 b=6.1917 c=6.1917 alpha=150.77 beta=128.28 gamma=60.51
With the nearest neighbours (Å) after each atom.
Fractional positions:
Ta 0.0127 0.0127 0.0000  2 Hg 2.98, 6 Ta 3.12-3.13, 2 La 3.22
Ta 0.4873 0.4873 0.0000  2 Hg 2.98, 6 Ta 3.12-3.13, 2 La 3.22
La 0.7500 0.2500 0.5000  4 Hg 3.12, 2 La 3.12, 4 Ta 3.22
Hg 0.2500 0.7500 0.5000  4 Ta 2.98, 4 La 3.12, 2 Hg 3.12

Computed properties:
* formation enthalpy at 0 K: 471 meV per atom
* N(E_F): 1.157 states/eV per atom
* magnetization: 0.00 μB/f.u.
* space group: No. 71


Entry 6:
This record from Alexandria describes an optimized crystal structure of LaTa2Hg. The functional is GGA-PBE.

Unit cell a=4.2711 b=4.2711 c=10.9310 alpha=78.73 beta=78.73 gamma=90.00
With the nearest neighbours (Å) after each atom.
Fractional positions:
Ta 0.3750 0.3652 0.7500  4 Ta 2.96-3.08, 2 Hg 3.01, 2 La 3.04
Ta 0.8750 0.8848 0.7500  4 Ta 2.96-3.08, 2 Hg 3.01, 2 La 3.04
Ta 0.6348 0.1250 0.2500  4 Ta 2.96-3.08, 2 Hg 3.01, 2 La 3.04
Ta 0.1152 0.6250 0.2500  4 Ta 2.96-3.08, 2 Hg 3.01, 2 La 3.04
La 0.2500 0.7500 0.5000  4 Hg 3.02, 4 Ta 3.04
La 0.5000 0.5000 0.0000  4 Hg 3.02, 4 Ta 3.04
Hg 0.0000 0.0000 0.0000  4 Ta 3.01, 4 La 3.02
Hg 0.7500 0.2500 0.5000  4 Ta 3.01, 4 La 3.02

Computed properties:
* formation enthalpy at 0 K: 729 meV per atom
* N(E_F): 1.111 states/eV per atom
* magnetization: 0.00 μB/f.u.
* space group: No. 122


Entry 7:
This record from Alexandria describes an optimized crystal structure of LaTa2Hg. The functional is GGA-PBE.

Unit cell a=10.8653 b=10.8653 c=10.8653 alpha=16.31 beta=16.31 gamma=16.31
With the nearest neighbours (Å) after each atom.
Fractional positions:
La 0.7500 0.7500 0.7500  6 La 3.08, 6 Ta 3.41
Hg 0.2500 0.2500 0.2500  6 Ta 3.03, 6 Hg 3.08
Ta 0.9928 0.9928 0.9928  3 Hg 3.03, 6 Ta 3.08
Ta 0.5072 0.5072 0.5072  3 Hg 3.03, 6 Ta 3.08

Computed properties:
* formation enthalpy at 0 K: 621 meV per atom
* N(E_F): 1.764 states/eV per atom
* magnetization: 0.00 μB/f.u.
* space group: No. 166


Entry 8:
This record from Alexandria describes an optimized crystal structure of LaTa3Hg. The functional is GGA-PBE.

Unit cell a=4.9377 b=4.9377 c=4.9377 alpha=90.00 beta=90.00 gamma=90.00
With the nearest neighbours (Å) after each atom.
Fractional positions:
Hg 0.5000 0.5000 0.5000  12 Ta 3.49
La 0.0000 0.0000 0.0000  6 Ta 2.47
Ta 0.0000 0.5000 0.0000  2 La 2.47
Ta 0.0000 0.0000 0.5000  2 La 2.47
Ta 0.5000 0.0000 0.0000  2 La 2.47

Computed properties:
* formation enthalpy at 0 K: 2180 meV per atom
* N(E_F): 1.113 states/eV per atom
* energy relative to the lowest polymorph listed for this composition: 2.05 eV/f.u.
* magnetization: 0.00 μB/f.u.
* space group: No. 221


Entry 9:
This record from Alexandria describes an optimized crystal structure of LaTaHg2. The functional is GGA-PBE.

Unit cell a=5.8276 b=5.8276 c=5.8276 alpha=135.32 beta=135.32 gamma=65.03
With the nearest neighbours (Å) after each atom.
Fractional positions:
Hg 0.2500 0.7500 0.5000  4 Ta 3.13, 4 La 3.31, 4 Hg 3.31
Hg 0.0000 0.0000 0.0000  4 La 3.13, 4 Hg 3.31, 4 Ta 3.31
Ta 0.7500 0.2500 0.5000  8 Hg 3.13-3.31, 4 La 3.31
La 0.5000 0.5000 0.0000  8 Hg 3.13-3.31, 4 Ta 3.31

Computed properties:
* formation enthalpy at 0 K: 350 meV per atom
* N(E_F): 1.343 states/eV per atom
* energy relative to the lowest polymorph listed for this composition: 0.95 eV/f.u.
* magnetization: 0.02 μB/f.u.
* space group: No. 119


Entry 10:
This record from Alexandria describes an optimized crystal structure of LaTa2Hg. The functional is GGA-PBE.

Unit cell a=5.0579 b=5.0579 c=6.4333 alpha=84.37 beta=84.37 gamma=35.06
With the nearest neighbours (Å) after each atom.
Fractional positions:
Ta 0.7530 0.7530 0.7775  5 Ta 2.83-3.05, 3 Hg 3.04-3.11
Ta 0.0145 0.0145 0.9406  5 Ta 2.83-3.05, 2 Hg 3.05, 1 La 3.09
Hg 0.4901 0.4901 0.5361  5 Ta 3.04-3.11, 2 Hg 3.05, 3 La 3.18-3.29
La 0.2424 0.2424 0.2457  2 La 3.05, 3 Ta 3.09-3.37, 3 Hg 3.18-3.29

Computed properties:
* formation enthalpy at 0 K: 451 meV per atom
* N(E_F): 1.235 states/eV per atom
* magnetization: 0.00 μB/f.u.
* space group: No. 8


Entry 11:
This record from Alexandria describes an optimized crystal structure of LaTaHg2. The functional is GGA-PBE.

Unit cell a=3.2308 b=3.2308 c=9.1653 alpha=90.00 beta=90.00 gamma=89.94
With the nearest neighbours (Å) after each atom.
Fractional positions:
La 0.0000 0.0000 0.5103  4 La 3.23, 4 Ta 3.33, 4 Hg 3.43-3.44
Hg 0.0000 0.0000 0.9845  4 Ta 2.98-2.99, 8 Hg 3.21-3.23
Hg 0.5000 0.5000 0.2304  8 Hg 3.21-3.23, 4 La 3.43-3.44
Ta 0.5000 0.5000 0.7747  4 Hg 2.98-2.99, 4 Ta 3.23, 4 La 3.33

Computed properties:
* formation enthalpy at 0 K: 209 meV per atom
* N(E_F): 0.943 states/eV per atom
* energy relative to the lowest polymorph listed for this composition: 0.38 eV/f.u.
* magnetization: 0.00 μB/f.u.
* space group: No. 99


Entry 12:
This record from Alexandria describes an optimized crystal structure of LaTa2Hg. The functional is GGA-PBE.

Unit cell a=5.3204 b=3.1717 c=5.4389 alpha=86.87 beta=90.00 gamma=90.00
With the nearest neighbours (Å) after each atom.
Fractional positions:
Hg 0.5000 0.2500 0.2500  4 Ta 3.03, 4 La 3.07-3.22, 2 Hg 3.17
Ta 0.0000 0.1162 0.0004  2 Ta 2.81-2.89, 2 Hg 3.03
Ta 0.0000 0.3838 0.4996  2 Ta 2.81-2.89, 2 Hg 3.03
La 0.5000 0.7500 0.7500  4 Hg 3.07-3.22, 2 La 3.17, 4 Ta 3.23

Computed properties:
* formation enthalpy at 0 K: 503 meV per atom
* N(E_F): 1.168 states/eV per atom
* magnetization: 0.00 μB/f.u.
* space group: No. 10


Entry 13:
This record from Alexandria describes an optimized crystal structure of LaTa2Hg. The functional is GGA-PBE.

Unit cell a=3.6576 b=3.6576 c=6.9929 alpha=90.00 beta=90.00 gamma=90.00
With the nearest neighbours (Å) after each atom.
Fractional positions:
Ta 0.0000 0.0000 0.4340  1 Ta 2.57
Ta 0.0000 0.0000 0.0660  1 Ta 2.57
Hg 0.5000 0.5000 0.2500  8 Ta 2.89
La 0.5000 0.5000 0.7500  8 Ta 3.40, 2 Hg 3.50, 4 La 3.66

Computed properties:
* formation enthalpy at 0 K: 580 meV per atom
* N(E_F): 0.919 states/eV per atom
* magnetization: 0.00 μB/f.u.
* space group: No. 123


Entry 14:
This record from Alexandria describes an optimized crystal structure of LaTaHg2. The functional is GGA-PBE.

Unit cell a=5.4519 b=5.4519 c=3.1794 alpha=90.00 beta=90.00 gamma=90.00
With the nearest neighbours (Å) after each atom.
Fractional positions:
La 0.5000 0.0000 0.5000  8 Hg 3.16, 2 La 3.18
Hg 0.0000 0.0000 0.0000  4 Ta 3.16, 4 La 3.16, 2 Hg 3.18
Hg 0.5000 0.5000 0.0000  4 La 3.16, 4 Ta 3.16, 2 Hg 3.18
Ta 0.0000 0.5000 0.5000  8 Hg 3.16, 2 Ta 3.18

Computed properties:
* formation enthalpy at 0 K: 280 meV per atom
* N(E_F): 1.078 states/eV per atom
* energy relative to the lowest polymorph listed for this composition: 0.66 eV/f.u.
* magnetization: 0.00 μB/f.u.
* space group: No. 123